! Ho5Si2Sb2 | the Alexandria database | PBE | optimized geometry; values from VASP
! DFT total energy   -0.410 Ry per atom
! Symmetry   No. 64
&SYSTEM
  ibrav = 0, nat = 18, ntyp = 3
/
ATOMIC_SPECIES
Ho 164.93 Ho.upf
Si 28.09 Si.upf
Sb 121.76 Sb.upf
ATOMIC_POSITIONS crystal
Ho 0.0414 0.2931 0.3330
Ho 0.9586 0.7069 0.6670
Ho 0.4586 0.2069 0.8330
Ho 0.7931 0.5414 0.1670
Ho 0.5414 0.7931 0.1670
Ho 0.2069 0.4586 0.8330
Ho 0.7069 0.9586 0.6670
Ho 0.2931 0.0414 0.3330
Ho 0.0000 0.0000 0.0000
Ho 0.5000 0.5000 0.5000
Si 0.3696 0.3696 0.1295
Si 0.6304 0.6304 0.8705
Si 0.1304 0.1304 0.6295
Si 0.8696 0.8696 0.3705
Sb 0.7940 0.2060 0.0000
Sb 0.2060 0.7940 0.0000
Sb 0.7060 0.2940 0.5000
Sb 0.2940 0.7060 0.5000
CELL_PARAMETERS angstrom
-0.7311 3.6577 -7.6164
-5.2417 -5.8924 3.1188
-4.4597 5.6231 3.1286

! LaDyHoTl | the Alexandria database | PBE | optimized geometry; values from VASP
! Energy of formation from the pure elements   -66 meV per atom
! DFT total energy   -0.308 Ry per atom
! ΔE to the lowest computed polymorph   0.0000 eV per atom
! Symmetry   No. 216
&SYSTEM
  ibrav = 0, nat = 4, ntyp = 4
/
ATOMIC_SPECIES
Tl 204.38 Tl.upf
La 138.91 La.upf
Ho 164.93 Ho.upf
Dy 162.50 Dy.upf
ATOMIC_POSITIONS crystal
Tl 0.0000 0.0000 0.0000
La 0.7500 0.7500 0.7500
Ho 0.5000 0.5000 0.5000
Dy 0.2500 0.2500 0.2500
CELL_PARAMETERS angstrom
-0.5679 5.0579 -2.2443
-5.0733 2.0129 -1.0734
-2.0349 4.1835 3.0496

! Zn3CuAg2 | the Alexandria database | PBE | optimized geometry; values from VASP
! Energy of formation from the pure elements   -14 meV per atom
! DFT total energy   -0.168 Ry per atom
! ΔE to the lowest computed polymorph   0.0231 eV per atom
! Symmetry   No. 12
&SYSTEM
  ibrav = 0, nat = 12, ntyp = 3
/
ATOMIC_SPECIES
Zn 65.41 Zn.upf
Cu 63.55 Cu.upf
Ag 107.87 Ag.upf
ATOMIC_POSITIONS crystal
Zn 0.4280 0.6516 0.7615
Zn 0.2680 0.0000 0.2387
Zn 0.5720 0.3484 0.2385
Zn 0.9204 0.6516 0.2385
Zn 0.0796 0.3484 0.7615
Zn 0.7320 0.0000 0.7613
Cu 0.6666 0.6668 0.0000
Cu 0.3334 0.3332 0.0000
Ag 0.0000 0.0000 0.0000
Ag 0.5000 0.0000 0.5000
Ag 0.1657 0.6686 0.5000
Ag 0.8343 0.3314 0.5000
CELL_PARAMETERS angstrom
4.9277 0.0000 0.0120
2.4639 4.2756 0.0060
1.6533 0.0000 8.7993

! Ac4Au2S | the Alexandria database | PBE | optimized geometry; values from VASP
! DFT total energy   -0.345 Ry per atom
! Symmetry   No. 139
&SYSTEM
  ibrav = 0, nat = 7, ntyp = 3
/
ATOMIC_SPECIES
Ac 227.00 Ac.upf
Au 196.97 Au.upf
S 32.06 S.upf
ATOMIC_POSITIONS crystal
Ac 0.8014 0.8014 0.6029
Ac 0.1986 0.1986 0.3971
Ac 0.0000 0.5000 0.0000
Ac 0.5000 0.0000 0.0000
Au 0.6040 0.6040 0.2080
Au 0.3960 0.3960 0.7920
S 0.0000 0.0000 0.0000
CELL_PARAMETERS angstrom
5.7818 0.0000 0.0000
0.0000 5.7818 0.0000
-2.8909 -2.8909 7.6192

! Zn2Tc | the Alexandria database | PBE | optimized geometry; values from VASP
! Energy of formation from the pure elements   153 meV per atom
! DFT total energy   -0.305 Ry per atom
! ΔE to the lowest computed polymorph   0.1538 eV per atom
! Symmetry   No. 63
&SYSTEM
  ibrav = 0, nat = 6, ntyp = 2
/
ATOMIC_SPECIES
Zn 65.41 Zn.upf
Tc 98.00 Tc.upf
ATOMIC_POSITIONS crystal
Zn 0.5611 0.4389 0.7500
Zn 0.7748 0.2252 0.2500
Zn 0.2252 0.7748 0.7500
Zn 0.4389 0.5611 0.2500
Tc 0.8922 0.1078 0.7500
Tc 0.1078 0.8922 0.2500
CELL_PARAMETERS angstrom
3.1460 6.0602 2.4921
-5.0279 -5.1855 -0.8152
1.8844 -2.3524 3.3417

! Er2Ge3Pt4Au | the Alexandria database | PBE | optimized geometry; values from VASP
! Energy of formation from the pure elements   -794 meV per atom
! DFT total energy   -0.429 Ry per atom
! Symmetry   No. 115
&SYSTEM
  ibrav = 0, nat = 10, ntyp = 4
/
ATOMIC_SPECIES
Er 167.26 Er.upf
Ge 72.64 Ge.upf
Pt 195.08 Pt.upf
Au 196.97 Au.upf
ATOMIC_POSITIONS crystal
Er 0.5000 0.0000 0.2530
Er 0.0000 0.5000 0.7470
Ge 0.0000 0.0000 0.5000
Ge 0.5000 0.0000 0.8678
Ge 0.0000 0.5000 0.1322
Pt 0.5000 0.5000 0.0000
Pt 0.0000 0.0000 0.0000
Pt 0.5000 0.0000 0.6641
Pt 0.0000 0.5000 0.3359
Au 0.5000 0.5000 0.5000
CELL_PARAMETERS angstrom
-2.4600 -3.0302 0.9312
0.9294 -1.8163 -3.4552
8.8464 -5.5532 5.2987

Please write out number 2 again, unchanged.
! LaDyHoTl | the Alexandria database | PBE | optimized geometry; values from VASP
! Energy of formation from the pure elements   -66 meV per atom
! DFT total energy   -0.308 Ry per atom
! ΔE to the lowest computed polymorph   0.0000 eV per atom
! Symmetry   No. 216
&SYSTEM
  ibrav = 0, nat = 4, ntyp = 4
/
ATOMIC_SPECIES
Tl 204.38 Tl.upf
La 138.91 La.upf
Ho 164.93 Ho.upf
Dy 162.50 Dy.upf
ATOMIC_POSITIONS crystal
Tl 0.0000 0.0000 0.0000
La 0.7500 0.7500 0.7500
Ho 0.5000 0.5000 0.5000
Dy 0.2500 0.2500 0.2500
CELL_PARAMETERS angstrom
-0.5679 5.0579 -2.2443
-5.0733 2.0129 -1.0734
-2.0349 4.1835 3.0496

Which value of DFT total energy does entry 3 give? -0.168 Ry per atom